Material: NdCr4Ga3O12
Method: DFT, PBE+U
State: optimized geometry

Computed properties:
The density of states at the Fermi level comes out at 0.000 states/eV per cell. Its energy is -287.613 eV/cell. The value obtained for the spin magnetization is 0.60 μB/atom.

Cell: 7.5041 7.5041 7.5041 Å, 90.00 90.00 90.00°
Closest atoms and distances in Å follow each position.
Space group Im-3 (No. 204)
Symmetry-distinct sites (fractional):
Nd 0.0000 0.0000 0.0000 [2 per cell]  12 O 2.66
Cr 0.2500 0.2500 0.2500 [8 per cell]  6 O 2.01
Ga 0.0000 0.0000 0.5000 [6 per cell]  4 O 1.94
O 0.0000 0.1743 0.3094 [24 per cell]  1 Ga 1.94, 2 Cr 2.01